# 1
Computed, not measured: crystalline PmGdTl at its relaxed geometry at the PBE level of DFT.

Cell and atoms, written as POSCAR:
```
PmGdTl
1.0
-0.748 -4.226 -3.011
1.187 -4.766 1.831
-3.827 -3.394 1.149
Pm Gd Tl
1 1 1
direct
0.750 0.750 0.750
0.250 0.250 0.250
0.000 0.000 0.000
```

Computed properties:
- energy relative to the lowest polymorph listed for this composition (meV per atom) = 0

=====

# 2
Computed, not measured: crystalline PmGdU at its relaxed geometry at the PBE level of DFT.

Cell and atoms, written as POSCAR:
```
PmGdU
1.0
0.000 3.747 3.747
3.747 0.000 3.747
3.747 3.747 0.000
Gd U Pm
1 1 1
direct
0.250 0.250 0.250
0.000 0.000 0.000
0.750 0.750 0.750
```

Computed properties:
- energy relative to the lowest polymorph listed for this composition (meV per atom) = 0
- formation energy (eV/atom) = 1.2631

=====

# 3
Computed, not measured: crystalline PrGdPt2 at its relaxed geometry at the PBE level of DFT.

Cell and atoms, written as POSCAR:
```
PrGdPt2
1.0
4.588 0.000 0.000
0.000 7.269 0.000
0.000 0.000 5.673
Pt Pr Gd
4 2 2
direct
0.500 0.807 0.154
0.000 0.193 0.654
0.000 0.719 0.845
0.500 0.281 0.345
0.000 0.569 0.360
0.500 0.431 0.860
0.500 0.934 0.641
0.000 0.066 0.141
```

Computed properties:
- energy relative to the lowest polymorph listed for this composition (meV per atom) = 0
- formation energy (eV/atom) = -1.1858

=====

# 4
Computed, not measured: crystalline PrGdPt2 at its relaxed geometry at the PBE level of DFT.

Cell and atoms, written as POSCAR:
```
PrGdPt2
1.0
-3.287 -4.596 -0.654
1.004 -1.327 4.279
-5.621 3.842 2.509
Pt Pr Gd
4 2 2
direct
0.648 0.750 0.549
0.352 0.250 0.451
0.162 0.250 0.962
0.838 0.750 0.038
0.141 0.750 0.685
0.859 0.250 0.315
0.639 0.250 0.820
0.361 0.750 0.180
```

Computed properties:
- energy relative to the lowest polymorph listed for this composition (meV per atom) = 6
- formation energy (eV/atom) = -1.1800

=====

# 5
Computed, not measured: crystalline PrGdPt4 at its relaxed geometry at the PBE level of DFT.

Cell and atoms, written as POSCAR:
```
PrGdPt4
1.0
-3.550 2.542 3.320
-4.657 2.066 -2.032
-4.803 -2.361 1.203
Pt Pr Gd
4 1 1
direct
0.124 0.625 0.625
0.625 0.625 0.625
0.625 0.124 0.625
0.625 0.625 0.124
0.250 0.250 0.250
0.000 0.000 0.000
```

Computed properties:
- formation energy (eV/atom) = -1.0598

=====

# 6
Computed, not measured: crystalline PrGdPt2 at its relaxed geometry at the PBE level of DFT.

Cell and atoms, written as POSCAR:
```
PrGdPt2
1.0
-0.933 1.308 4.303
-4.163 -3.866 0.273
4.718 -4.903 2.514
Pt Gd Pr
4 2 2
direct
0.500 0.900 0.543
0.500 0.100 0.043
0.000 0.408 0.955
0.000 0.592 0.455
0.500 0.391 0.683
0.500 0.609 0.183
0.000 0.889 0.819
0.000 0.111 0.319
```

Computed properties:
- energy relative to the lowest polymorph listed for this composition (meV per atom) = 9
- formation energy (eV/atom) = -1.1770

=====

# 7
Computed, not measured: crystalline PrGdTl2Pt4 at its relaxed geometry at the PBE level of DFT.

Cell and atoms, written as POSCAR:
```
PrGdTl2Pt4
1.0
4.679 0.000 0.000
-2.340 4.052 0.000
0.000 0.000 9.159
Tl Pr Pt Gd
2 1 4 1
direct
0.000 0.000 0.246
0.000 0.000 0.754
0.333 0.667 0.500
0.667 0.333 0.341
0.333 0.667 0.848
0.667 0.333 0.659
0.333 0.667 0.152
0.667 0.333 0.000
```

Computed properties:
- VASP energy (eV per atom) = -5.517

=====

# 8
Computed, not measured: crystalline PrGdPu at its relaxed geometry at the PBE level of DFT.

Cell and atoms, written as POSCAR:
```
PrGdPu
1.0
-1.884 -3.557 -3.411
-5.013 0.295 -1.619
-1.091 1.423 -4.962
Gd Pr Pu
1 1 1
direct
0.250 0.250 0.250
0.000 0.000 0.000
0.750 0.750 0.750
```

Computed properties:
- formation energy (eV/atom) = 0.7973

=====

# 9
Computed, not measured: crystalline Rb2PrGdS4 at its relaxed geometry at the PBE level of DFT.

Cell and atoms, written as POSCAR:
```
Rb2PrGdS4
1.0
-1.036 -0.215 4.039
2.728 -2.724 -1.603
11.595 9.559 3.484
Pr Rb Gd S
1 2 1 4
direct
0.000 0.000 0.500
0.333 0.667 0.753
0.667 0.333 0.247
0.000 0.000 0.000
0.667 0.333 0.905
0.667 0.333 0.602
0.333 0.667 0.398
0.333 0.667 0.095
```

Computed properties:
- VASP energy (eV per atom) = -5.312

=====

# 10
Computed, not measured: crystalline Pr2GdS3 at its relaxed geometry at the PBE level of DFT.

Cell and atoms, written as POSCAR:
```
Pr2GdS3
1.0
4.037 0.000 0.000
-2.018 3.496 0.000
0.000 0.000 9.979
Pr S Gd
2 3 1
direct
0.667 0.333 0.830
0.333 0.667 0.170
0.333 0.667 0.655
0.667 0.333 0.345
0.000 0.000 0.000
0.000 0.000 0.500
```

Computed properties:
- VASP energy (eV per atom) = -6.455

=====

# 11
Computed, not measured: crystalline PrGd2S3 at its relaxed geometry at the PBE level of DFT.

Cell and atoms, written as POSCAR:
```
PrGd2S3
1.0
3.985 0.000 0.000
-1.992 3.451 0.000
0.000 0.000 9.854
Pr Gd S
1 2 3
direct
0.000 0.000 0.000
0.333 0.667 0.663
0.667 0.333 0.337
0.333 0.667 0.178
0.000 0.000 0.500
0.667 0.333 0.822
```

Computed properties:
- VASP energy (eV per atom) = -6.435

=====

# 12
Computed, not measured: crystalline PrGd2Sb3 at its relaxed geometry at the PBE level of DFT.

Cell and atoms, written as POSCAR:
```
PrGd2Sb3
1.0
-3.174 -2.884 1.226
2.498 -0.831 -3.601
7.248 -5.317 6.255
Sb Gd Pr
3 2 1
direct
0.000 0.000 0.000
0.333 0.667 0.326
0.667 0.333 0.674
0.333 0.667 0.837
0.667 0.333 0.163
0.000 0.000 0.500
```

Computed properties:
- VASP energy (eV per atom) = -5.579